No. 1
NdGaCo | GGA-PBE | relaxed

Unit cell a=4.219 b=6.926 c=7.765 alpha=90.00 beta=90.00 gamma=90.00
Atoms (fractional coordinates):
Ga: 0.750 0.845 0.567
Ga: 0.250 0.155 0.433
Ga: 0.250 0.655 0.067
Ga: 0.750 0.345 0.933
Nd: 0.250 0.027 0.813
Nd: 0.750 0.973 0.187
Nd: 0.750 0.473 0.313
Nd: 0.250 0.527 0.687
Co: 0.750 0.716 0.887
Co: 0.250 0.284 0.113
Co: 0.250 0.784 0.387
Co: 0.750 0.216 0.613

Calculated values
The calculation puts the formation energy at -0.39 eV per atom. As for the uncorrected energy: -5.353 eV per atom. The space-group type is Pnma, No. 62. The density of states at the Fermi level comes out at 2.73 states/eV/f.u.

No. 2
Nd6Ga2Co | GGA-PBE | relaxed

Unit cell a=7.204 b=7.204 c=11.472 alpha=90.00 beta=90.00 gamma=90.00
Atoms (fractional coordinates):
Co: 0.500 0.500 0.500
Co: 0.000 0.000 0.000
Nd: 0.300 0.300 0.331
Nd: 0.753 0.247 0.500
Nd: 0.200 0.800 0.169
Nd: 0.800 0.200 0.169
Nd: 0.800 0.200 0.831
Nd: 0.247 0.753 0.500
Nd: 0.300 0.300 0.669
Nd: 0.700 0.700 0.331
Nd: 0.700 0.700 0.669
Nd: 0.200 0.800 0.831
Nd: 0.747 0.747 0.000
Nd: 0.253 0.253 0.000
Ga: 0.500 0.500 0.874
Ga: 0.500 0.500 0.126
Ga: 0.000 0.000 0.374
Ga: 0.000 0.000 0.626

Calculated values
The calculation puts the formation energy at -0.05 eV per atom. As for the uncorrected energy: -4.694 eV per atom. The space-group type is P4_2/mnm, No. 136. The density of states at the Fermi level comes out at 12.65 states/eV/f.u.

No. 3
Nd6GaCo | GGA-PBE | relaxed

Unit cell a=6.633 b=7.482 c=6.474 alpha=54.70 beta=81.92 gamma=75.93
Atoms (fractional coordinates):
Co: 0.500 0.500 0.000
Nd: 0.669 0.781 0.000
Nd: 0.229 0.842 0.645
Nd: 0.229 0.487 0.355
Nd: 0.771 0.158 0.355
Nd: 0.771 0.513 0.645
Nd: 0.331 0.219 0.000
Ga: 0.000 0.000 0.000

Calculated values
The calculation puts the formation energy at -0.02 eV per atom. As for the uncorrected energy: -4.858 eV per atom. The space-group type is C2/m, No. 12. The density of states at the Fermi level comes out at 10.39 states/eV/f.u.

No. 4
Nd2Ga4Co3 | GGA-PBE | relaxed

Unit cell a=5.372 b=5.372 c=6.890 alpha=101.14 beta=101.14 gamma=120.29
Atoms (fractional coordinates):
Ga: 0.979 0.322 0.301
Ga: 0.021 0.678 0.699
Ga: 0.322 0.979 0.301
Ga: 0.678 0.021 0.699
Nd: 0.627 0.627 0.254
Nd: 0.373 0.373 0.746
Co: 0.000 0.000 0.000
Co: 0.000 0.500 0.000
Co: 0.500 0.000 0.000

Calculated values
The calculation puts the formation energy at -0.36 eV per atom. As for the uncorrected energy: -5.129 eV per atom. The space-group type is Fmmm, No. 69. The density of states at the Fermi level comes out at 7.47 states/eV/f.u.